# SmTlAs2O8 PBE optimized geometry
# - volume (Å³ per atom) = 12.55
# - uncorrected formation energy (eV/atom) = -1.6340
# - space-group type = I-4, No. 82
data_SmTlAs2O8
_space_group_name_H-M_alt 'P 1'
_space_group_IT_number 1
_cell_length_a 5.0768
_cell_length_b 5.0768
_cell_length_c 6.8593
_cell_angle_alpha 111.72
_cell_angle_beta 111.72
_cell_angle_gamma 90.00
loop_
_space_group_symop_operation_xyz
'x,y,z'
loop_
_atom_site_label
_atom_site_type_symbol
_atom_site_fract_x
_atom_site_fract_y
_atom_site_fract_z
O1 O 0.4287 0.3276 0.1562
As1 As 0.5000 0.5000 0.0000
O2 O 0.1714 0.5713 0.8438
O3 O 0.0792 0.9779 0.6551
Tl1 Tl 0.0000 0.0000 0.0000
O4 O 0.7275 0.8286 0.1562
O5 O 0.5758 0.6772 0.6551
O6 O 0.6724 0.2725 0.8438
As2 As 0.2500 0.7500 0.5000
Sm1 Sm 0.7500 0.2500 0.5000
O7 O 0.0221 0.4242 0.3449
O8 O 0.3228 0.9208 0.3449

---

# SmTl2As2O6 PBE optimized geometry
# - volume (Å³ per atom) = 18.89
# - uncorrected formation energy (eV/atom) = -1.5795
# - space-group type = C2/m, No. 12
data_SmTl2As2O6
_space_group_name_H-M_alt 'P 1'
_space_group_IT_number 1
_cell_length_a 6.1314
_cell_length_b 5.8949
_cell_length_c 7.5676
_cell_angle_alpha 112.99
_cell_angle_beta 90.00
_cell_angle_gamma 121.34
loop_
_space_group_symop_operation_xyz
'x,y,z'
loop_
_atom_site_label
_atom_site_type_symbol
_atom_site_fract_x
_atom_site_fract_y
_atom_site_fract_z
O1 O 0.7425 0.9330 0.2690
Sm1 Sm 0.5000 0.0000 0.5000
As1 As 0.0592 0.1185 0.2264
O2 O 0.2575 0.0670 0.7310
O3 O 0.2452 0.4904 0.4179
Tl1 Tl 0.7138 0.4276 0.1950
Tl2 Tl 0.2862 0.5724 0.8050
O4 O 0.7548 0.5096 0.5821
As2 As 0.9408 0.8815 0.7736
O5 O 0.1905 0.9330 0.2690
O6 O 0.8095 0.0670 0.7310

---

# SmTmAsO2 PBE optimized geometry
# - volume (Å³ per atom) = 18.73
# - uncorrected formation energy (eV/atom) = -2.6609
# - space-group type = I4mm, No. 107
data_SmTmAsO2
_space_group_name_H-M_alt 'P 1'
_space_group_IT_number 1
_cell_length_a 3.8087
_cell_length_b 3.8087
_cell_length_c 6.9962
_cell_angle_alpha 105.80
_cell_angle_beta 105.80
_cell_angle_gamma 90.00
loop_
_space_group_symop_operation_xyz
'x,y,z'
loop_
_atom_site_label
_atom_site_type_symbol
_atom_site_fract_x
_atom_site_fract_y
_atom_site_fract_z
Sm1 Sm 0.8427 0.8427 0.6855
As1 As 0.5030 0.5030 0.0059
O1 O 0.2457 0.7457 0.4914
Tm1 Tm 0.1629 0.1629 0.3257
O2 O 0.7457 0.2457 0.4914

---

# SmTmAs2O8 PBE optimized geometry
# - volume (Å³ per atom) = 12.16
# - uncorrected formation energy (eV/atom) = -2.3449
# - space-group type = I-4, No. 82
data_SmTmAs2O8
_space_group_name_H-M_alt 'P 1'
_space_group_IT_number 1
_cell_length_a 5.0623
_cell_length_b 5.0623
_cell_length_c 6.7256
_cell_angle_alpha 112.11
_cell_angle_beta 112.11
_cell_angle_gamma 90.00
loop_
_space_group_symop_operation_xyz
'x,y,z'
loop_
_atom_site_label
_atom_site_type_symbol
_atom_site_fract_x
_atom_site_fract_y
_atom_site_fract_z
O1 O 0.1711 0.5764 0.8463
O2 O 0.4236 0.3248 0.1537
As1 As 0.5000 0.5000 0.0000
O3 O 0.0786 0.9728 0.6616
As2 As 0.2500 0.7500 0.5000
Sm1 Sm 0.7500 0.2500 0.5000
O4 O 0.3112 0.9214 0.3384
O5 O 0.5831 0.6888 0.6616
Tm1 Tm 0.0000 0.0000 0.0000
O6 O 0.6752 0.2699 0.8463
O7 O 0.7301 0.8289 0.1537
O8 O 0.0272 0.4169 0.3384